# 1
VASP calculation (PBE) on a relaxed structure of NaZn17Ag.

```
NaZn17Ag
1.0
-0.8230 -3.7020 -5.6874
3.3489 -5.5949 2.0522
-5.4262 -3.6234 2.0387
Zn Na Ag
17 1 1
direct
0.1533 0.6538 0.6538
0.8449 0.3407 0.3407
0.0046 0.3025 0.6782
0.3025 0.6782 0.0046
0.8998 0.8998 0.8998
0.9889 0.9889 0.4944
0.3407 0.8449 0.3407
0.6538 0.1533 0.6538
0.6782 0.0046 0.3025
0.3025 0.0046 0.6782
0.9889 0.4944 0.9889
0.6538 0.6538 0.1533
0.6782 0.3025 0.0046
0.3407 0.3407 0.8449
0.0046 0.6782 0.3025
0.0971 0.0971 0.0971
0.4944 0.9889 0.9889
0.6594 0.6594 0.6594
0.4134 0.4134 0.4134
```

Computed properties:
Energy (eV per cell): -25.6
Space-group type: No. 160



# 2
VASP calculation (PBE) on a relaxed structure of NaZnAg2.

```
NaZnAg2
1.0
4.5830 0.0000 0.0000
0.0000 5.9110 0.0000
0.0000 0.0000 6.0764
Ag Zn Na
4 2 2
direct
0.0000 0.2408 0.8524
0.0000 0.7592 0.8524
0.5000 0.2592 0.1476
0.5000 0.7408 0.1476
0.0000 0.5000 0.2226
0.5000 0.0000 0.7774
0.5000 0.5000 0.6090
0.0000 0.0000 0.3910
```

Computed properties:
Energy (eV per cell): -16.5
Space-group type: No. 59



# 3
VASP calculation (PBE) on a relaxed structure of NaZn9Ag2.

```
NaZn9Ag2
1.0
2.9976 0.0000 0.0000
0.0000 8.8381 0.0000
0.0000 -4.4191 7.6540
Zn Ag Na
9 2 1
direct
0.5000 0.8229 0.6457
0.0000 0.5000 0.0000
0.5000 0.3543 0.1771
0.0000 0.5000 0.5000
0.0000 0.0000 0.5000
0.5000 0.1771 0.8229
0.5000 0.1771 0.3543
0.5000 0.8229 0.1771
0.5000 0.6457 0.8229
0.0000 0.3333 0.6667
0.0000 0.6667 0.3333
0.0000 0.0000 0.0000
```

Computed properties:
Offset from the most stable computed form (eV per formula unit): 0.760
Space-group type: No. 191



# 4
VASP calculation (PBE) on a relaxed structure of Na2Zn6Ag.

```
Na2Zn6Ag
1.0
5.7269 0.0000 0.0000
-2.8634 4.3319 0.8614
0.0000 -0.3664 6.6586
Zn Ag Na
6 1 2
direct
0.1574 0.7824 0.3625
0.6250 0.7824 0.3625
0.3750 0.2176 0.6375
0.8556 0.7113 0.6845
0.8426 0.2176 0.6375
0.1444 0.2887 0.3155
0.0000 0.0000 0.0000
0.3417 0.6835 0.8937
0.6583 0.3165 0.1063
```

Computed properties:
Energy (eV per cell): -13.3
Space-group type: No. 12



# 5
VASP calculation (PBE) on a relaxed structure of NaZn3Ag2.

```
NaZn3Ag2
1.0
5.6193 0.0000 0.0000
0.0000 6.5129 0.6090
0.0000 -1.5747 6.3490
Zn Na Ag
6 2 4
direct
0.7500 0.1186 0.4248
0.7500 0.0272 0.0272
0.7500 0.4248 0.1186
0.2500 0.8814 0.5752
0.2500 0.9728 0.9728
0.2500 0.5752 0.8814
0.2500 0.3499 0.3499
0.7500 0.6501 0.6501
0.0000 0.7687 0.2313
0.0000 0.2313 0.7687
0.5000 0.2313 0.7687
0.5000 0.7687 0.2313
```

Computed properties:
Offset from the most stable computed form (eV per formula unit): 0.429
Space-group type: No. 63



# 6
VASP calculation (PBE) on a relaxed structure of Na2Zn2Ag.

```
Na2Zn2Ag
1.0
8.6442 0.0000 0.0000
0.0000 8.6442 0.0000
0.0000 0.0000 2.9977
Na Zn Ag
4 4 2
direct
0.8106 0.6894 0.0000
0.3106 0.8106 0.0000
0.1894 0.3106 0.0000
0.6894 0.1894 0.0000
0.8950 0.3950 0.5000
0.3950 0.1050 0.5000
0.1050 0.6050 0.5000
0.6050 0.8950 0.5000
0.0000 0.0000 0.0000
0.5000 0.5000 0.0000
```

Computed properties:
Offset from the most stable computed form (eV per formula unit): 0.909
Space-group type: No. 127



# 7
VASP calculation (PBE) on a relaxed structure of Na2Zn16Ag.

```
Na2Zn16Ag
1.0
6.8141 0.0489 0.8227
0.7351 6.7745 0.8227
0.0541 0.0489 6.8634
Zn Na Ag
16 2 1
direct
0.1549 0.6494 0.6494
0.6494 0.6494 0.1549
0.2987 0.6998 0.9990
0.9990 0.2987 0.6998
0.3499 0.8441 0.3499
0.0006 0.0006 0.4964
0.2987 0.9990 0.6998
0.8441 0.3499 0.3499
0.0006 0.4964 0.0006
0.9990 0.6998 0.2987
0.4964 0.0006 0.0006
0.3499 0.3499 0.8441
0.6998 0.2987 0.9990
0.6494 0.1549 0.6494
0.6998 0.9990 0.2987
0.1060 0.1060 0.1060
0.6600 0.6600 0.6600
0.3416 0.3416 0.3416
0.9022 0.9022 0.9022
```

Computed properties:
Energy (eV per cell): -26.5
Space-group type: No. 160



# 8
VASP calculation (PBE) on a relaxed structure of NaZn4Ag12.

```
NaZn4Ag12
1.0
-3.7391 4.5433 5.0510
5.3511 -4.1764 3.7494
3.4522 4.4007 -5.3713
Ag Zn Na
12 4 1
direct
0.8100 0.1574 0.6526
0.6526 0.8100 0.1574
0.3474 0.5047 0.1574
0.8426 0.6526 0.4953
0.1900 0.8426 0.3474
0.3474 0.1900 0.8426
0.4953 0.8426 0.6526
0.1574 0.3474 0.5047
0.6526 0.4953 0.8426
0.5047 0.1574 0.3474
0.1574 0.6526 0.8100
0.8426 0.3474 0.1900
0.5000 0.5000 0.5000
0.0000 0.5000 0.0000
0.5000 0.0000 0.0000
0.0000 0.0000 0.5000
0.0000 0.0000 0.0000
```

Computed properties:
Energy (eV per cell): -35.6
Space-group type: No. 204



| no. | Fermi-level density of states (states/eV per cell) | size of the total moment (μB/f.u.) |
| --- | --- | --- |
| 1 | 4.31 | 0.0 |
| 2 | 2.70 | 0.0 |
| 3 | 3.69 | 0.0 |
| 4 | 3.60 | 0.0 |
| 5 | 3.82 | 0.0 |
| 6 | 2.31 | 0.0 |
| 7 | 5.91 | 0.0 |
| 8 | 10.24 | 0.0 |